# 1
# RbIn3Fe (PBE-GGA, optimized geometry)
# DFT formation energy   1.635 eV/atom
# Energy above the lowest structure with this stoichiometry   1.6075 eV per atom
# Total DFT energy (no corrections)   -0.0696 hartree per atom
data_RbIn3Fe
_symmetry_space_group_name_H-M 'P 1'
_symmetry_Int_Tables_number 1
_cell_length_a 6.219
_cell_length_b 6.219
_cell_length_c 6.219
_cell_angle_alpha 90.00
_cell_angle_beta 90.00
_cell_angle_gamma 90.00
loop_
_symmetry_equiv_pos_as_xyz
'x,y,z'
loop_
_atom_site_label
_atom_site_fract_x
_atom_site_fract_y
_atom_site_fract_z
Fe1 0.500 0.500 0.500
In1 0.000 0.000 0.500
In2 0.500 0.000 0.000
In3 0.000 0.500 0.000
Rb1 0.000 0.000 0.000

***

# 2
# RbInFe2 (PBE-GGA, optimized geometry)
# DFT formation energy   0.898 eV/atom
# Total DFT energy (no corrections)   -0.1565 hartree per atom
data_RbInFe2
_symmetry_space_group_name_H-M 'P 1'
_symmetry_Int_Tables_number 1
_cell_length_a 4.940
_cell_length_b 4.940
_cell_length_c 10.139
_cell_angle_alpha 75.90
_cell_angle_beta 75.90
_cell_angle_gamma 90.00
loop_
_symmetry_equiv_pos_as_xyz
'x,y,z'
loop_
_atom_site_label
_atom_site_fract_x
_atom_site_fract_y
_atom_site_fract_z
Fe1 0.375 0.125 0.750
Fe2 0.875 0.625 0.250
Rb1 0.500 0.500 0.000
Rb2 0.250 0.750 0.500
In1 0.000 0.000 0.000
In2 0.750 0.250 0.500
Fe3 0.875 0.125 0.250
Fe4 0.875 0.125 0.750

***

# 3
# RbInFe2Tc (PBE-GGA, optimized geometry)
# DFT formation energy   1.486 eV/atom
# Total DFT energy (no corrections)   -0.1732 hartree per atom
data_RbInFe2Tc
_symmetry_space_group_name_H-M 'P 1'
_symmetry_Int_Tables_number 1
_cell_length_a 4.670
_cell_length_b 5.846
_cell_length_c 4.670
_cell_angle_alpha 90.00
_cell_angle_beta 90.00
_cell_angle_gamma 90.00
loop_
_symmetry_equiv_pos_as_xyz
'x,y,z'
loop_
_atom_site_label
_atom_site_fract_x
_atom_site_fract_y
_atom_site_fract_z
In1 0.500 0.500 0.500
Rb1 0.000 0.500 0.000
Fe1 0.000 0.000 0.500
Fe2 0.500 0.000 0.000
Tc1 0.000 0.000 0.000